{"formula": "Hf3Zr3FeTe2", "functional": "PBE", "state": "relaxed", "lattice_angstrom": [[7.807, 0.000, 0.000], [-3.904, 6.761, 0.000], [0.000, 0.000, 3.554]], "species": ["Fe", "Hf", "Hf", "Hf", "Te", "Te", "Zr", "Zr", "Zr"], "frac_coords": [[0.000, 0.000, 0.000], [0.398, 0.000, 0.000], [0.000, 0.398, 0.000], [0.602, 0.602, 0.000], [0.667, 0.333, 0.500], [0.333, 0.667, 0.500], [0.757, 0.000, 0.500], [0.243, 0.243, 0.500], [0.000, 0.757, 0.500]], "relative_energy_ev_per_atom": 0.086, "spacegroup": "P-62m"}